A plane-wave DFT calculation with PBE was carried out for an optimized crystal structure of NaBeCoMo.

Cell: 4.1573 4.1573 4.1573 Å, 60.00 60.00 60.00°
Closest atoms and distances in Å follow each position.
Sites, in units of the cell vectors:
Be 0.7500 0.7500 0.7500  4 Na 2.55, 4 Co 2.55
Co 0.0000 0.0000 0.0000  4 Mo 2.55, 4 Be 2.55
Mo 0.2500 0.2500 0.2500  4 Co 2.55, 4 Na 2.55
Na 0.5000 0.5000 0.5000  4 Mo 2.55, 4 Be 2.55

Calculated values
- Total moment: 0.00 μB per cell
- Distance to the lowest polymorph of the same formula: 0 meV per atom